Entry from Alexandria: a geometry-optimized BaLa2Br structure (PBE).

Lattice parameters (Å, degrees): 7.6890 7.6890 7.6890 100.72 100.72 128.90
Last column: nearest neighbours and their distance in Å.
Sites, in units of the cell vectors:
Ba 0.0000 0.0000 0.0000  2 Br 3.32
Ba 0.7500 0.2500 0.5000  2 Br 3.32
La 0.2100 0.6250 0.0850  2 Br 3.05
La 0.3750 0.4600 0.5850  2 Br 3.05
La 0.5400 0.1250 0.9150  2 Br 3.05
La 0.8750 0.7900 0.4150  2 Br 3.05
Br 0.2500 0.7500 0.5000  4 La 3.05, 2 Ba 3.32
Br 0.5000 0.5000 0.0000  4 La 3.05, 2 Ba 3.32

Output
- D(E_F) (states/eV per cell) = 7.44
- formation energy from raw total energies (meV per atom) = -378